## Cu2PdAu6 (GGA-PBE)

Data for a relaxed structure of Cu2PdAu6.

a b c (Å): 6.5602 5.4889 9.1949
angles (deg): 90.00 105.85 90.00
Fractional coordinates of all 18 atoms:
Cu 0.2482 0.0014 0.3177
Cu 0.2482 0.4986 0.8177
Cu 0.7518 0.5014 0.1823
Cu 0.7518 0.9986 0.6823
Pd 0.0000 0.0000 0.5000
Pd 0.0000 0.5000 0.0000
Au 0.1653 0.5010 0.3169
Au 0.1653 0.9990 0.8169
Au 0.3685 0.7466 0.5994
Au 0.3685 0.7534 0.0994
Au 0.3692 0.2478 0.0990
Au 0.3692 0.2522 0.5990
Au 0.6308 0.7478 0.4010
Au 0.6308 0.7522 0.9010
Au 0.6315 0.2466 0.9006
Au 0.6315 0.2534 0.4006
Au 0.8347 0.0010 0.1831
Au 0.8347 0.4990 0.6831

Calculated values
The symmetry is P2_1/c (14). Its energy of formation from the pure elements is 80 meV per atom. For the excess energy over the best structure of this formula in the dataset, the calculation gives 131.0 meV/atom.